Entry 1:
## Pm4SmMg (PBE)

Data for crystalline Pm4SmMg at its relaxed geometry.

Cell lengths 3.6624, 3.6624, 14.5610 Å; angles 90.00, 90.00, 90.00 degrees
Space group P4/mmm (No. 123)
Asymmetric unit:
Pm (0.0000, 0.0000, 0.1500) x2
Pm (0.5000, 0.5000, 0.3236) x2
Sm (0.0000, 0.0000, 0.5000) x1
Mg (0.5000, 0.5000, 0.0000) x1

Computed properties:
* polymorph energy (0 for the lowest one): 0.000 eV per atom



Entry 2:
## Cs2CuSiTe4 (PBE)

Data for crystalline Cs2CuSiTe4 at its relaxed geometry.

Cell lengths 6.7381, 15.4186, 25.3413 Å; angles 90.00, 90.00, 90.00 degrees
Space group Fddd (No. 70, origin choice 2)
Asymmetric unit:
Cs (0.1250, 0.1250, 0.3058) x16
Cu (0.1250, 0.1250, 0.1250) x8
Si (0.1250, 0.1250, 0.6250) x8
Te (0.1121, 0.2825, 0.8218) x32

Computed properties:
* energy relative to the elements, uncorrected: -0.4990 eV/atom



Entry 3:
## Np2MnNi12P3 (PBE)

Data for crystalline Np2MnNi12P3 at its relaxed geometry.

Cell lengths 8.2614, 8.2614, 11.9586 Å; angles 90.00, 90.00, 120.00 degrees
Space group R-3m (No. 166, hexagonal axes)
Asymmetric unit:
Np (0.0000, 0.0000, 0.0956) x6
Mn (0.0000, 0.0000, 0.5000) x3
Ni (0.0093, 0.5046, 0.8191) x18
Ni (0.0533, 0.5267, 0.3888) x18
P (0.0000, 0.5000, 0.0000) x9

Computed properties:
* E_tot: -364.0 eV/cell



Entry 4:
## Ag3Pt2Au2 (PBE)

Data for crystalline Ag3Pt2Au2 at its relaxed geometry.

Cell lengths 9.1464, 4.1204, 6.4299 Å; angles 90.00, 97.99, 90.00 degrees
Space group C2/m (No. 12)
Asymmetric unit:
Ag (0.0000, 0.0000, 0.0000) x2
Ag (0.1455, 0.0000, 0.4289) x4
Pt (0.2166, 0.5000, 0.1356) x4
Au (0.0702, 0.5000, 0.7168) x4

Computed properties:
* E_tot: -54.3 eV/cell



Entry 5:
## La3CdO (PBE)

Data for crystalline La3CdO at its relaxed geometry.

Cell lengths 4.0484, 4.0484, 21.2478 Å; angles 90.00, 90.00, 120.00 degrees
Space group P6_3/mmc (No. 194)
Asymmetric unit:
La (0.0000, 0.0000, 0.2500) x2
La (0.3333, 0.6667, 0.1140) x4
Cd (0.0000, 0.0000, 0.0000) x2
O (0.3333, 0.6667, 0.2500) x2

Computed properties:
* polymorph energy (0 for the lowest one): 0.178 eV per atom
* energy relative to the elements, uncorrected: -1.1288 eV/atom



Entry 6:
## UPaW (PBE)

Data for crystalline UPaW at its relaxed geometry.

Cell lengths 5.0542, 5.0542, 18.1225 Å; angles 90.00, 90.00, 120.00 degrees
Space group R-3m (No. 166, hexagonal axes)
Asymmetric unit:
U (0.0000, 0.0000, 0.1113) x6
Pa (0.0000, 0.0000, 0.4210) x6
W (0.0000, 0.0000, 0.2632) x6

Computed properties:
* polymorph energy (0 for the lowest one): 0.426 eV per atom



Entry 7:
## SmU2PaN4 (PBE)

Data for crystalline SmU2PaN4 at its relaxed geometry.

Cell lengths 6.0301, 3.4810, 6.0571 Å; angles 90.00, 109.56, 90.00 degrees
Space group P2/m (No. 10)
Asymmetric unit:
Sm (0.0000, 0.0000, 0.0000) x1
U (0.0000, 0.5000, 0.5000) x1
U (0.5000, 0.0000, 0.5000) x1
Pa (0.5000, 0.5000, 0.0000) x1
N (0.2531, 0.0000, 0.7414) x2
N (0.2654, 0.5000, 0.2688) x2

Computed properties:
* energy relative to the elements, uncorrected: -1.4271 eV/atom



Entry 8:
## CsK2NaI (PBE)

Data for crystalline CsK2NaI at its relaxed geometry.

Cell lengths 6.8853, 6.8853, 7.5227 Å; angles 90.00, 90.00, 90.00 degrees
Space group P4/mmm (No. 123)
Asymmetric unit:
Cs (0.0000, 0.0000, 0.0000) x1
K (0.0000, 0.5000, 0.5000) x2
Na (0.5000, 0.5000, 0.0000) x1
I (0.0000, 0.0000, 0.5000) x1

Computed properties:
* polymorph energy (0 for the lowest one): 0.000 eV per atom
* energy relative to the elements, uncorrected: -0.4939 eV/atom



Entry 9:
## CsScSi2 (PBE)

Data for crystalline CsScSi2 at its relaxed geometry.

Cell lengths 7.3992, 7.3992, 7.3992 Å; angles 90.00, 90.00, 90.00 degrees
Space group Fm-3m (No. 225)
Asymmetric unit:
Cs (0.0000, 0.0000, 0.0000) x4
Sc (0.0000, 0.0000, 0.5000) x4
Si (0.2500, 0.2500, 0.2500) x8

Computed properties:
* polymorph energy (0 for the lowest one): 0.365 eV per atom
* energy relative to the elements, uncorrected: 0.6625 eV/atom



Entry 10:
## EuTcAs2 (PBE)

Data for crystalline EuTcAs2 at its relaxed geometry.

Cell lengths 3.1864, 3.1864, 7.3595 Å; angles 90.00, 90.00, 90.00 degrees
Space group P4/mmm (No. 123)
Asymmetric unit:
Eu (0.0000, 0.0000, 0.0000) x1
Tc (0.0000, 0.0000, 0.5000) x1
As (0.5000, 0.5000, 0.2995) x2

Computed properties:
* polymorph energy (0 for the lowest one): 0.000 eV per atom



Entry 11:
## HfNbIn2 (PBE)

Data for crystalline HfNbIn2 at its relaxed geometry.

Cell lengths 6.9204, 6.9204, 6.9204 Å; angles 90.00, 90.00, 90.00 degrees
Space group Fm-3m (No. 225)
Asymmetric unit:
Hf (0.0000, 0.0000, 0.0000) x4
Nb (0.0000, 0.0000, 0.5000) x4
In (0.2500, 0.2500, 0.2500) x8

Computed properties:
* polymorph energy (0 for the lowest one): 0.234 eV per atom



Entry 12:
## CuNi3Sn2S8 (PBE)

Data for crystalline CuNi3Sn2S8 at its relaxed geometry.

Cell lengths 7.1064, 7.1678, 9.9672 Å; angles 90.00, 90.00, 90.00 degrees
Space group Imm2 (No. 44)
Asymmetric unit:
Cu (0.0000, 0.0000, 0.0000) x2
Ni (0.0000, 0.5000, 0.7365) x2
Ni (0.2500, 0.0000, 0.6164) x4
Sn (0.0000, 0.2502, 0.3672) x4
S (0.0000, 0.2301, 0.6240) x4
S (0.0000, 0.2769, 0.1128) x4
S (0.2405, 0.5000, 0.8833) x4
S (0.2447, 0.0000, 0.8485) x4

Computed properties:
* energy relative to the elements, uncorrected: -0.3114 eV/atom



What did the twelfth record say?
## CuNi3Sn2S8 (PBE)

Data for crystalline CuNi3Sn2S8 at its relaxed geometry.

Cell lengths 7.1064, 7.1678, 9.9672 Å; angles 90.00, 90.00, 90.00 degrees
Space group Imm2 (No. 44)
Asymmetric unit:
Cu (0.0000, 0.0000, 0.0000) x2
Ni (0.0000, 0.5000, 0.7365) x2
Ni (0.2500, 0.0000, 0.6164) x4
Sn (0.0000, 0.2502, 0.3672) x4
S (0.0000, 0.2301, 0.6240) x4
S (0.0000, 0.2769, 0.1128) x4
S (0.2405, 0.5000, 0.8833) x4
S (0.2447, 0.0000, 0.8485) x4

Computed properties:
* energy relative to the elements, uncorrected: -0.3114 eV/atom



> What is the formula in the third record?

Np2MnNi12P3